# 1
Density functional theory data (GGA-PBE) for crystalline Tb3Er4Se8 at its relaxed geometry.

abc: 8.101 8.101 8.097
angles: 119.96 119.96 90.01
Fractional coordinates of all 15 atoms:
Tb (0.000, 0.000, 0.000)
Tb (0.000, 0.500, 0.000)
Tb (0.500, 0.000, 0.000)
Er (0.000, 0.500, 0.500)
Er (0.500, 0.000, 0.500)
Er (0.500, 0.500, 0.000)
Er (0.500, 0.500, 0.500)
Se (0.248, 0.752, 0.500)
Se (0.249, 0.249, 0.503)
Se (0.250, 0.250, 0.996)
Se (0.252, 0.748, 0.000)
Se (0.748, 0.252, 0.000)
Se (0.750, 0.750, 0.004)
Se (0.751, 0.751, 0.497)
Se (0.752, 0.248, 0.500)

Values from the calculation:
Energy relative to the elements, uncorrected in meV/atom: -1818
Density in Mg/m³: 7.8

# 2
Density functional theory data (GGA-PBE) for crystalline Ta2FePd at its relaxed geometry.

abc: 4.031 4.031 3.804
angles: 90.00 90.00 90.00
Fractional coordinates of all 4 atoms:
Ta (0.000, 0.500, 0.000)
Ta (0.500, 0.000, 0.000)
Fe (0.000, 0.000, 0.500)
Pd (0.500, 0.500, 0.500)

Values from the calculation:
VASP energy in eV/atom: -9.41
Density in Mg/m³: 14.1

# 3
Density functional theory data (GGA-PBE) for crystalline Cs2TaTi at its relaxed geometry.

abc: 10.264 10.264 10.264
angles: 93.00 93.00 153.55
Fractional coordinates of all 8 atoms:
Cs (0.375, 0.059, 0.184)
Cs (0.809, 0.625, 0.684)
Cs (0.875, 0.191, 0.816)
Cs (0.941, 0.125, 0.316)
Ta (0.000, 0.000, 0.000)
Ta (0.750, 0.250, 0.500)
Ti (0.250, 0.750, 0.500)
Ti (0.500, 0.500, 0.000)

Values from the calculation:
VASP energy in eV/atom: -3.75
Density in Mg/m³: 3.5

Number 1: total magnetic moment 0.0 μB/f.u., DOS at the Fermi energy 6.17 states/eV per cell. Number 2: total magnetic moment 0.6 μB/f.u., DOS at the Fermi energy 4.61 states/eV per cell. Number 3: total magnetic moment 0.6 μB/f.u., DOS at the Fermi energy 13.57 states/eV per cell.